[1]
DFT (PBE) results for LuThCuPd after structural relaxation.

formation enthalpy at 0 K	-0.465	eV per atom
calculated total energy	-5.772	eV/atom
total moment	0.0	μB/f.u.

abc: 4.998 4.998 4.998
angles: 60.00 60.00 60.00
Fractional positions:
Lu1 0.000 0.000 0.000
Th1 0.500 0.500 0.500
Cu1 0.250 0.250 0.250
Pd1 0.750 0.750 0.750

[2]
DFT (PBE) results for NaLi2Bi3S6 after structural relaxation.

calculated total energy	-4.200	eV/atom
total moment	0.0	μB/f.u.
formation energy (no corrections)	-0.737	eV/atom

abc: 8.898 8.898 8.016
angles: 102.34 102.34 26.09
Fractional positions:
Na1 0.000 0.000 0.000
Li1 0.334 0.334 0.673
Li2 0.666 0.666 0.327
Bi1 0.000 0.000 0.500
Bi2 0.333 0.333 0.169
Bi3 0.667 0.667 0.831
S1 0.170 0.170 0.093
S2 0.170 0.170 0.584
S3 0.494 0.494 0.743
S4 0.506 0.506 0.257
S5 0.830 0.830 0.416
S6 0.830 0.830 0.907

[3]
DFT (PBE) results for LiBiIrPb after structural relaxation.

formation enthalpy at 0 K	-0.014	eV per atom
calculated total energy	-4.605	eV/atom
total moment	0.0	μB/f.u.

abc: 4.883 4.883 4.883
angles: 60.00 60.00 60.00
Fractional positions:
Li1 0.000 0.000 0.000
Bi1 0.750 0.750 0.750
Ir1 0.500 0.500 0.500
Pb1 0.250 0.250 0.250

[4]
DFT (PBE) results for Li2Pd5Rh after structural relaxation.

formation enthalpy at 0 K	-0.211	eV per atom
calculated total energy	-4.854	eV/atom
total moment	0.0	μB/f.u.

abc: 5.364 5.364 5.364
angles: 105.69 105.69 117.33
Fractional positions:
Li1 0.000 0.500 0.500
Li2 0.500 0.000 0.500
Pd1 0.000 0.000 0.000
Pd2 0.000 0.000 0.500
Pd3 0.000 0.500 0.000
Pd4 0.500 0.000 0.000
Pd5 0.500 0.500 0.500
Rh1 0.500 0.500 0.000

[5]
DFT (PBE) results for Pm6SiSb2Te3 after structural relaxation.

calculated total energy	-5.582	eV/atom
total moment	0.0	μB/f.u.
formation energy (no corrections)	-1.282	eV/atom

abc: 9.980 9.980 8.948
angles: 103.29 103.29 25.63
Fractional positions:
Pm1 0.000 0.000 0.225
Pm2 0.000 0.000 0.775
Pm3 0.332 0.332 0.422
Pm4 0.345 0.345 0.918
Pm5 0.655 0.655 0.082
Pm6 0.668 0.668 0.578
Si1 0.500 0.500 0.000
Sb1 0.166 0.166 0.333
Sb2 0.834 0.834 0.667
Te1 0.170 0.170 0.835
Te2 0.500 0.500 0.500
Te3 0.830 0.830 0.165

[6]
DFT (PBE) results for Li3Sc2Hg4 after structural relaxation.

formation enthalpy at 0 K	-0.331	eV per atom
calculated total energy	-2.510	eV/atom
total moment	0.0	μB/f.u.

abc: 4.846 4.846 9.037
angles: 93.32 93.32 58.33
Fractional positions:
Li1 0.000 0.000 0.000
Li2 0.345 0.345 0.428
Li3 0.655 0.655 0.572
Sc1 0.322 0.322 0.781
Sc2 0.678 0.678 0.219
Hg1 0.018 0.018 0.340
Hg2 0.342 0.342 0.107
Hg3 0.658 0.658 0.893
Hg4 0.982 0.982 0.660

[7]
DFT (PBE) results for SrTaCr2 after structural relaxation.

formation enthalpy at 0 K	1.174	eV per atom
calculated total energy	-7.022	eV/atom
total moment	5.8	μB/f.u.

abc: 5.625 5.625 5.625
angles: 136.50 136.50 63.21
Fractional positions:
Sr1 0.000 0.000 0.000
Ta1 0.250 0.750 0.500
Cr1 0.500 0.500 0.000
Cr2 0.750 0.250 0.500

[8]
DFT (PBE) results for HfZrAu2 after structural relaxation.

formation enthalpy at 0 K	0.393	eV per atom
calculated total energy	-5.871	eV/atom
total moment	0.0	μB/f.u.

abc: 6.501 6.501 6.501
angles: 153.73 134.19 53.58
Fractional positions:
Hf1 0.000 0.000 0.000
Zr1 0.500 0.500 0.000
Au1 0.239 0.239 0.000
Au2 0.761 0.761 0.000

What did the first record say?
DFT (PBE) results for LuThCuPd after structural relaxation.

formation enthalpy at 0 K	-0.465	eV per atom
calculated total energy	-5.772	eV/atom
total moment	0.0	μB/f.u.

abc: 4.998 4.998 4.998
angles: 60.00 60.00 60.00
Fractional positions:
Lu1 0.000 0.000 0.000
Th1 0.500 0.500 0.500
Cu1 0.250 0.250 0.250
Pd1 0.750 0.750 0.750

What is the formula in the third record?
LiBiIrPb

Which formula does entry 3 have?
LiBiIrPb